Record 1
A relaxed DyScZnFe crystal. Source: Alexandria via LeMat-Bulk, functional PBE.

Unit cell a=4.745 b=4.745 c=4.745 alpha=60.00 beta=60.00 gamma=60.00
Last column: magnetic moment on the atom in μB.
Fractional positions:
1 Fe 0.000 0.000 0.000  1.53
2 Sc 0.250 0.250 0.250  -0.26
3 Dy 0.750 0.750 0.750  -0.15
4 Zn 0.500 0.500 0.500  -0.02

Calculated values
Magnetization, μB/f.u.: 1.0
DOS(E_F), states/eV per atom: 0.984
V, Å³/atom: 18.89
Formation energy from the elements, eV per atom: -0.110
Symmetry: F-43m, No. 216

***

Record 2
A relaxed Pm2AgC2 crystal. Source: Alexandria via LeMat-Bulk, functional PBE.

Unit cell a=4.161 b=6.932 c=7.591 alpha=103.76 beta=105.91 gamma=90.00
Fractional positions:
1 Pm 0.515 0.369 0.700
2 C 0.646 0.974 0.549
3 Pm 0.185 0.869 0.700
4 Ag 0.113 0.250 0.000
5 C 0.903 0.474 0.549
6 Pm 0.815 0.131 0.300
7 C 0.354 0.026 0.451
8 Ag 0.887 0.750 0.000
9 Pm 0.485 0.631 0.300
10 C 0.097 0.526 0.451

Calculated values
Magnetization, μB/f.u.: 0.0
DOS(E_F), states/eV per atom: 0.490
V, Å³/atom: 20.40
Formation energy from the elements, eV per atom: -0.215
Symmetry: C2/c, No. 15

***

Record 3
A relaxed CaMg6Nb crystal. Source: Alexandria via LeMat-Bulk, functional PBE.

Unit cell a=6.374 b=6.374 c=4.535 alpha=90.00 beta=90.00 gamma=90.00
Fractional positions:
1 Mg 0.770 0.770 0.000
2 Nb 0.000 0.000 0.500
3 Mg 0.000 0.500 0.500
4 Mg 0.230 0.230 0.000
5 Ca 0.500 0.500 0.500
6 Mg 0.770 0.230 0.000
7 Mg 0.500 0.000 0.500
8 Mg 0.230 0.770 0.000

Calculated values
Magnetization, μB/f.u.: 0.0
DOS(E_F), states/eV per atom: 0.799
V, Å³/atom: 23.03
Excess energy over the best structure of this formula in the dataset, kJ per mole of atoms: 0.0
Formation energy from the elements, eV per atom: 0.106
Symmetry: P4/mmm, No. 123

***

Record 4
A relaxed BiBAs2 crystal. Source: Alexandria via LeMat-Bulk, functional PBE.

Unit cell a=4.839 b=4.839 c=4.839 alpha=60.00 beta=60.00 gamma=60.00
Fractional positions:
1 As 0.250 0.250 0.250
2 B 0.000 0.000 0.000
3 Bi 0.500 0.500 0.500
4 As 0.750 0.750 0.750

Calculated values
Magnetization, μB/f.u.: 0.0
DOS(E_F), states/eV per atom: 0.597
V, Å³/atom: 20.03
Excess energy over the best structure of this formula in the dataset, kJ per mole of atoms: 86.0
Formation energy from the elements, eV per atom: 1.172
Symmetry: Fm-3m, No. 225